! V2Br3O, optimized geometry, DFT PBE with a Hubbard U; values from VASP
&SYSTEM
  ibrav = 0, nat = 12, ntyp = 3
/
ATOMIC_SPECIES
V 50.94 V.upf
O 16.00 O.upf
Br 79.90 Br.upf
CELL_PARAMETERS angstrom
-3.309 -0.655 0.930
-1.141 2.033 -9.213
2.390 -10.125 1.376
ATOMIC_POSITIONS crystal
V 0.580 0.160 0.468
V 0.926 0.853 0.261
O 0.459 0.918 0.367
V 0.074 0.147 0.739
O 0.541 0.082 0.633
Br 0.184 0.369 0.637
Br 0.816 0.631 0.363
Br 0.071 0.141 0.267
Br 0.632 0.264 0.935
V 0.420 0.840 0.532
Br 0.929 0.859 0.733
Br 0.368 0.736 0.065
! VASP energy (eV for the cell shown): -62.6
! Total moment (μB/atom): 0.833